(1)
The following is a GGA-PBE calculation of a relaxed La2TaW crystal, from Alexandria via LeMat-Bulk.

Excess energy over the best structure of this formula in the dataset, meV/atom: 477
Calculated volume, Å³/f.u.: 93

CIF file:
```
data_La2TaW
_cell_length_a 2.942
_cell_length_b 2.942
_cell_length_c 10.772
_cell_angle_alpha 90.00
_cell_angle_beta 90.00
_cell_angle_gamma 90.00
_space_group_name_H-M_alt 'P 4/m m m'
_space_group_IT_number 123
_space_group_name_Hall '-P 4 2'
loop_
_atom_site_label
_atom_site_type_symbol
_atom_site_fract_x
_atom_site_fract_y
_atom_site_fract_z
La1 La 0.000 0.000 0.245
Ta1 Ta 0.500 0.500 0.500
W1 W 0.500 0.500 0.000
```

---

(2)
The following is a GGA-PBE calculation of a relaxed LaCu2Ag2 crystal, from Alexandria via LeMat-Bulk.

Excess energy over the best structure of this formula in the dataset, meV/atom: 166
Calculated volume, Å³/f.u.: 95

CIF file:
```
data_LaCu2Ag2
_cell_length_a 7.647
_cell_length_b 7.647
_cell_length_c 3.257
_cell_angle_alpha 90.00
_cell_angle_beta 90.00
_cell_angle_gamma 90.00
_space_group_name_H-M_alt 'P 4/m b m'
_space_group_IT_number 127
_space_group_name_Hall '-P 4 2ab'
loop_
_atom_site_label
_atom_site_type_symbol
_atom_site_fract_x
_atom_site_fract_y
_atom_site_fract_z
La1 La 0.000 0.000 0.000
Cu1 Cu 0.116 0.384 0.000
Ag1 Ag 0.172 0.672 0.500
```

---

(3)
The following is a GGA-PBE calculation of a relaxed Mg2NiMo crystal, from Alexandria via LeMat-Bulk.

Excess energy over the best structure of this formula in the dataset, meV/atom: 331
Calculated volume, Å³/f.u.: 64

CIF file:
```
data_Mg2NiMo
_cell_length_a 4.785
_cell_length_b 4.785
_cell_length_c 2.794
_cell_angle_alpha 90.00
_cell_angle_beta 90.00
_cell_angle_gamma 90.00
_space_group_name_H-M_alt 'P 4/m m m'
_space_group_IT_number 123
_space_group_name_Hall '-P 4 2'
loop_
_atom_site_label
_atom_site_type_symbol
_atom_site_fract_x
_atom_site_fract_y
_atom_site_fract_z
Mg1 Mg 0.000 0.500 0.000
Ni1 Ni 0.000 0.000 0.500
Mo1 Mo 0.500 0.500 0.500
```

---

(4)
The following is a GGA-PBE calculation of a relaxed La3Nd4Y crystal, from Alexandria via LeMat-Bulk.

Calculated volume, Å³/f.u.: 288

CIF file:
```
data_La3Nd4Y
_cell_length_a 25.837
_cell_length_b 3.535
_cell_length_c 6.337
_cell_angle_alpha 90.00
_cell_angle_beta 94.82
_cell_angle_gamma 90.00
_space_group_name_H-M_alt 'C 1 2/m 1'
_space_group_IT_number 12
loop_
_space_group_symop_operation_xyz
'x,y,z'
'-x,-y,-z'
'-x,y,-z'
'x,-y,z'
'x+1/2,y+1/2,z'
'-x+1/2,-y+1/2,-z'
'-x+1/2,y+1/2,-z'
'x+1/2,-y+1/2,z'
loop_
_atom_site_label
_atom_site_type_symbol
_atom_site_fract_x
_atom_site_fract_y
_atom_site_fract_z
La1 La 0.000 0.000 0.000
La2 La 0.144 0.000 0.250
Nd1 Nd 0.106 0.000 0.739
Nd2 Nd 0.222 0.500 0.741
Y1 Y 0.000 0.500 0.500
```

---

no.,energy (eV per cell),ΔE_f (eV per formula unit),magnetic moment (μB/cell)
1,-31.50,3.16,0.00
2,-37.37,0.14,0.00
3,-18.23,1.58,0.00
4,-77.65,1.49,0.00